The following is a DFT calculation (GGA-PBE) of a relaxed Sc6Tl2Bi crystal.

Summary:
ΔE_f ... -0.269 eV/atom

```
18
Lattice="9.591 0.000 0.000 0.000 9.603 0.000 0.000 0.000 4.743" Properties=species:S:1:pos:R:3 pbc="T T T"
Sc 0.267 1.586 0.000
Sc 1.260 6.051 2.371
Sc 1.585 9.325 2.371
Sc 3.211 4.523 0.000
Sc 3.535 1.250 0.000
Sc 4.529 6.387 2.371
Sc 5.062 3.216 2.371
Sc 6.056 8.353 0.000
Sc 6.381 5.080 0.000
Sc 8.006 0.278 2.371
Sc 8.331 3.552 2.371
Sc 9.324 8.018 0.000
Tl 2.027 2.759 2.371
Tl 2.768 7.560 0.000
Tl 6.823 2.043 0.000
Tl 7.564 6.844 2.371
Bi 0.000 4.802 0.000
Bi 4.796 0.000 2.371
```

The following is a DFT calculation (GGA-PBE) of a relaxed Sc2TlBi crystal.

Summary:
ΔE_f ... -0.278 eV/atom
E above lowest polymorph ... 0.0575 eV/atom

```
4
Lattice="1.979 1.142 8.026 -1.979 1.142 8.026 0.000 -2.285 8.026" Properties=species:S:1:pos:R:3 pbc="T T T"
Sc 0.000 0.000 0.000
Sc 0.000 0.000 4.266
Tl 0.000 0.000 10.141
Bi 0.000 0.000 14.200
```

The following is a DFT calculation (GGA-PBE) of a relaxed Sc2TlBi crystal.

Summary:
ΔE_f ... 0.000 eV/atom
E above lowest polymorph ... 0.3360 eV/atom

```
4
Lattice="1.736 1.002 10.612 -1.736 1.002 10.612 0.000 -2.005 10.612" Properties=species:S:1:pos:R:3 pbc="T T T"
Sc 0.000 0.000 2.964
Sc 0.000 0.000 28.871
Tl 0.000 0.000 15.918
Bi 0.000 0.000 0.000
```

The following is a DFT calculation (GGA-PBE) of a relaxed Sc2TlBi crystal.

Summary:
ΔE_f ... -0.277 eV/atom
E above lowest polymorph ... 0.0590 eV/atom

```
4
Lattice="0.000 3.677 3.677 3.677 0.000 3.677 3.677 3.677 0.000" Properties=species:S:1:pos:R:3 pbc="T T T"
Sc 1.838 1.838 1.838
Sc 5.515 5.515 5.515
Tl 0.000 0.000 0.000
Bi 3.677 3.677 3.677
```

The following is a DFT calculation (GGA-PBE) of a relaxed Sc5Tl2Bi2 crystal.

Summary:
ΔE_f ... -0.475 eV/atom

```
18
Lattice="7.464 -3.904 0.000 7.464 3.904 0.000 0.000 0.000 7.802" Properties=species:S:1:pos:R:3 pbc="T T T"
Sc 0.000 0.000 0.000
Sc 5.487 2.615 5.182
Sc 5.487 1.288 1.281
Sc 9.441 2.615 5.182
Sc 9.441 1.288 1.281
Sc 7.464 0.000 3.901
Sc 5.487 -1.288 6.521
Sc 5.487 -2.615 2.620
Sc 9.441 -1.288 6.521
Sc 9.441 -2.615 2.620
Tl 7.464 2.823 2.831
Tl 7.464 1.080 6.733
Tl 7.464 -1.080 1.070
Tl 7.464 -2.823 4.971
Bi 3.066 0.000 0.000
Bi 4.398 0.000 3.901
Bi 10.530 0.000 3.901
Bi 11.862 0.000 0.000
```

The following is a DFT calculation (GGA-PBE) of a relaxed Sc6TlBi3 crystal.

Summary:
ΔE_f ... -0.395 eV/atom

```
20
Lattice="5.805 -5.914 0.000 5.805 5.914 0.000 0.000 0.000 7.528" Properties=species:S:1:pos:R:3 pbc="T T T"
Sc 2.839 2.373 5.043
Sc 5.805 4.896 3.764
Sc 5.805 3.463 7.123
Sc 4.155 0.734 0.067
Sc 4.155 -0.734 3.831
Sc 2.839 -2.373 1.279
Sc 8.771 2.373 5.043
Sc 7.455 0.734 0.067
Sc 7.455 -0.734 3.831
Sc 5.805 -3.463 3.358
Sc 5.805 -4.896 0.000
Sc 8.771 -2.373 1.279
Tl 5.805 2.412 2.170
Tl 5.805 -2.412 5.934
Bi 2.101 0.683 2.284
Bi 2.101 -0.683 6.049
Bi 5.805 1.435 5.112
Bi 5.805 -1.435 1.348
Bi 9.510 0.683 2.284
Bi 9.510 -0.683 6.049
```